12
Lattice="5.6691 0.0000 0.0000 2.8346 4.9096 0.0000 2.8346 1.6365 6.8906" Properties=species:S:1:pos:R:3 comment="GGA-PBE TbNi2Pt3, optimized geometry" dos_at_fermi_per_ev_atom=1.102 total_energy_ev_per_atom=-6.20 volume_a3_per_atom=15.98 total_magnetization_mub_per_cell=3.7 sg="R-3m, No. 166" pbc="T T T"
Ni 2.8346 0.0000 0.0000
Pt 7.0635 4.0781 2.0641
Ni 4.2518 2.4548 0.0000
Ni 1.4173 2.4548 0.0000
Ni 0.0000 0.0000 0.0000
Pt 7.0635 2.4681 4.8265
Tb 8.5037 4.9096 4.4775
Pt 5.6691 1.6630 2.0641
Pt 5.6691 4.8831 4.8265
Tb 2.8346 1.6365 2.4131
Pt 4.2748 4.0781 2.0641
Pt 4.2748 2.4681 4.8265